1.
This record from Alexandria via LeMat-Bulk describes BaGaAs2Se after structural relaxation. The functional is PBE-GGA.

Geometry as POSCAR:
```
BaGaAs2Se
1.0
6.071 0.000 0.000
0.000 6.071 0.000
0.000 0.000 6.069
Ga As Se Ba
1 2 1 1
Direct
0.500 0.500 0.500
0.500 0.000 0.000
0.000 0.500 0.000
0.000 0.000 0.500
0.000 0.000 0.000
```

Summary:
Polymorph energy (0 for the lowest one) = 5.41 eV/f.u.
Formation energy without anion corrections = 70.1 kJ per mole of atoms
Final energy = -0.1036 hartree per atom
Density of states at the Fermi level = 1.23 states/eV per atom



2.
This record from Alexandria via LeMat-Bulk describes BaGaAs2Se after structural relaxation. The functional is PBE-GGA.

Geometry as POSCAR:
```
BaGaAs2Se
1.0
5.012 0.000 0.000
0.000 5.012 0.000
0.000 0.000 5.371
Ga As Ba Se
1 2 1 1
Direct
0.000 0.000 0.000
0.000 0.500 0.000
0.500 0.000 0.000
0.500 0.500 0.500
0.000 0.000 0.500
```

Summary:
Polymorph energy (0 for the lowest one) = 0.00 eV/f.u.
Formation energy without anion corrections = -34.3 kJ per mole of atoms
Final energy = -0.1434 hartree per atom
Density of states at the Fermi level = 0.89 states/eV per atom